Y3Cd2Ag2 | PBE-GGA | relaxed

abc: 4.500 3.488 11.222
angles: 90.00 78.43 90.00
Positions (direct):
Cd  0.577  0.500  0.846
Ag  0.287  0.500  0.427
Y  0.000  0.000  0.000
Y  0.839  0.000  0.321
Cd  0.423  0.500  0.154
Ag  0.713  0.500  0.573
Y  0.161  0.000  0.679

Calculated values
Calculated formation energy, meV per atom: -294.9

***

Ba7TeSe5 | PBE-GGA | relaxed

abc: 4.739 8.143 28.081
angles: 89.99 90.00 106.92
Site moments in Bohr magnetons follow the coordinates.
Positions (direct):
Ba  0.911  0.823  0.396  0.00
Ba  0.089  0.178  0.896  0.00
Se  0.457  0.914  0.643  0.00
Te  0.208  0.416  0.750  0.00
Ba  0.911  0.823  0.104  0.00
Ba  0.363  0.726  0.535  0.00
Se  0.000  0.000  0.500  0.00
Ba  0.537  0.074  0.750  0.10
Ba  0.089  0.178  0.603  0.00
Te  0.793  0.586  0.250  0.00
Ba  0.824  0.647  0.674  0.04
Se  0.273  0.547  0.073  0.00
Se  0.727  0.454  0.927  0.00
Se  0.543  0.087  0.357  0.00
Ba  0.363  0.727  0.965  0.00
Se  0.543  0.087  0.143  0.00
Ba  0.464  0.927  0.250  0.10
Ba  0.637  0.275  0.035  0.00
Se  0.273  0.547  0.427  0.00
Se  0.000  0.001  0.000  0.00
Ba  0.177  0.354  0.326  0.04
Ba  0.177  0.354  0.174  0.04
Ba  0.637  0.274  0.465  0.00
Se  0.457  0.915  0.857  0.00
Ba  0.824  0.647  0.826  0.04
Se  0.727  0.454  0.573  0.00

***

RbAcCuO4 | PBE-GGA | relaxed

abc: 6.266 5.262 8.175
angles: 90.00 102.79 90.00
Site moments in Bohr magnetons follow the coordinates.
Positions (direct):
O  0.986  0.498  0.701  0.15
Cu  0.217  0.750  0.294  0.60
Rb  0.732  0.750  0.959  0.00
O  0.014  0.502  0.299  0.15
Ac  0.749  0.750  0.445  0.00
O  0.622  0.250  0.474  0.37
Cu  0.783  0.250  0.706  0.60
Rb  0.268  0.250  0.041  0.00
O  0.014  0.998  0.299  0.15
O  0.438  0.750  0.185  0.30
O  0.378  0.750  0.526  0.37
O  0.562  0.250  0.815  0.30
O  0.986  0.002  0.701  0.15
Ac  0.251  0.250  0.555  0.00

***

NbCuNi | PBE-GGA | relaxed

abc: 2.646 4.214 4.214
angles: 120.00 90.00 90.00
Positions (direct):
Ni  0.167  0.667  0.333
Nb  0.667  0.333  0.667
Cu  0.166  0.000  0.000

Calculated values
Calculated formation energy, meV per atom: -111.1
Polymorph energy (0 for the lowest one), meV per atom: 0

***

Li2TbI5 | PBE-GGA | relaxed

abc: 7.536 8.414 8.414
angles: 65.33 59.87 59.87
Positions (direct):
Li  0.640  0.583  0.007
I  0.078  0.819  0.361
I  0.078  0.361  0.819
I  0.698  0.931  0.931
I  0.387  0.775  0.775
Li  0.640  0.007  0.583
I  0.519  0.273  0.273
Tb  0.960  0.028  0.028

***

ZnAg2P | PBE-GGA | relaxed

abc: 4.998 4.998 4.914
angles: 78.69 78.69 33.91
Positions (direct):
Ag  0.246  0.246  0.264
P  0.476  0.476  0.497
Ag  0.015  0.015  0.975
Zn  0.763  0.763  0.763

Calculated values
Calculated formation energy, meV per atom: 200.9
Polymorph energy (0 for the lowest one), meV per atom: 38

***

Li2InRu | PBE-GGA | relaxed

abc: 4.845 4.845 5.131
angles: 83.41 83.41 32.79
Positions (direct):
Ru  0.500  0.500  0.499
Li  0.756  0.756  0.749
Li  0.997  0.997  0.987
In  0.247  0.247  0.265

Calculated values
Calculated formation energy, meV per atom: 76.0

***

Dy2Er2Hg3 | PBE-GGA | relaxed

abc: 5.156 5.167 8.935
angles: 90.04 106.65 120.17
Positions (direct):
Er  0.757  0.379  0.135
Er  0.243  0.621  0.865
Hg  0.000  0.000  0.000
Dy  0.745  0.873  0.619
Dy  0.255  0.127  0.381
Hg  0.503  0.752  0.254
Hg  0.497  0.248  0.746

Calculated values
Calculated formation energy, meV per atom: -317.5

***

K2AgTeI6 | PBE-GGA | relaxed

abc: 8.610 8.401 11.801
angles: 90.00 85.24 90.00
Site moments in Bohr magnetons follow the coordinates.
Positions (direct):
I  0.108  0.476  0.755  0.01
I  0.824  0.769  0.553  0.06
K  0.525  0.573  0.769  0.00
I  0.317  0.708  0.455  0.01
Ag  0.500  0.000  0.000  0.02
K  0.475  0.427  0.231  0.00
I  0.183  0.208  0.045  0.01
I  0.176  0.231  0.447  0.06
Te  0.000  0.500  0.000  0.20
I  0.608  0.024  0.255  0.01
I  0.683  0.292  0.545  0.01
I  0.892  0.524  0.245  0.01
K  0.975  0.073  0.731  0.00
I  0.324  0.731  0.053  0.06
I  0.817  0.792  0.955  0.01
I  0.392  0.976  0.745  0.01
Ag  0.000  0.500  0.500  0.02
K  0.025  0.927  0.269  0.00
I  0.676  0.269  0.947  0.06
Te  0.500  0.000  0.500  0.20

***

LaPr2Co | PBE-GGA | relaxed

abc: 3.769 3.769 10.816
angles: 79.97 79.97 60.00
Site moments in Bohr magnetons follow the coordinates.
Positions (direct):
La  0.000  0.000  0.000  0.17
Co  0.500  0.500  0.500  0.01
Pr  0.886  0.886  0.343  0.03
Pr  0.114  0.114  0.657  0.03

Calculated values
Calculated formation energy, meV per atom: 186.1
Polymorph energy (0 for the lowest one), meV per atom: 263

***

Sr3HfTi | PBE-GGA | relaxed

abc: 5.788 5.788 5.788
angles: 90.00 90.00 90.00
Site moments in Bohr magnetons follow the coordinates.
Positions (direct):
Ti  0.000  0.000  0.000  -0.11
Sr  0.000  0.000  0.500  0.02
Hf  0.500  0.500  0.500  0.63
Sr  0.000  0.500  0.000  0.01
Sr  0.500  0.000  0.000  0.00

Calculated values
Calculated formation energy, meV per atom: 1349.2
Polymorph energy (0 for the lowest one), meV per atom: 0

***

BaCu3Rh | PBE-GGA | relaxed

abc: 4.822 4.822 4.822
angles: 90.00 90.00 90.00
Positions (direct):
Cu  0.000  0.500  0.000
Ba  0.500  0.500  0.500
Cu  0.000  0.000  0.500
Rh  0.000  0.000  0.000
Cu  0.500  0.000  0.000

Calculated values
Calculated formation energy, meV per atom: 231.7
Polymorph energy (0 for the lowest one), meV per atom: 198

***

Here are the calculated uncorrected energy numbers, same order: -29.0 -57.9 -39.8 -20.3 -26.1 -11.6 -15.5 -21.5 -23.9 -20.8 -16.1 -20.4 (eV/f.u.).